# Cs9K3Pt2, optimized geometry, DFT PBE
# Formation energy from the elements, eV per atom: -0.0167
data_Cs9K3Pt2
_chemical_formula_sum 'Cs54 K18 Pt12'
_space_group_name_H-M_alt 'R -3 c'
_space_group_IT_number 167
_space_group_name_Hall '-R 3 2"c'
_cell_length_a 17.5663
_cell_length_b 17.5663
_cell_length_c 25.2682
_cell_angle_alpha 90.00
_cell_angle_beta 90.00
_cell_angle_gamma 120.00
loop_
_atom_site_label
_atom_site_type_symbol
_atom_site_fract_x
_atom_site_fract_y
_atom_site_fract_z
_atom_site_occupancy
Cs1 Cs 0.0000 0.1440 0.2500 1
Cs2 Cs 0.0059 0.1653 0.9083 1
K1 K 0.0000 0.3438 0.7500 1
Pt1 Pt 0.0000 0.0000 0.1571 1